Record 1
Compound: AlCu2W
Source: Alexandria
Functional: PBE
Structure: relaxed

## Properties
**Energy of formation**: 144.6 meV/atom
**V**: 55.4 Å³/cell

Cell: 4.1574 2.6798 5.0576 Å, 79.74 90.00 90.00°
Sites, in units of the cell vectors:
Cu (0.0000, 0.9092, 0.0004)
Cu (0.0000, 0.5908, 0.4996)
Al (0.5000, 0.7500, 0.7500)
W (0.5000, 0.2500, 0.2500)

Record 2
Compound: TiFeSi2
Source: Alexandria
Functional: PBE
Structure: relaxed

## Properties
**V**: 51.6 Å³/cell
**ΔE_f (raw)**: -0.9 eV per formula unit

Cell: 4.1784 4.1784 4.1784 Å, 60.00 60.00 60.00°
Each line ends with the local moment (μB).
Sites, in units of the cell vectors:
Si (0.2500, 0.2500, 0.2500)  0.01
Si (0.7500, 0.7500, 0.7500)  0.01
Fe (0.5000, 0.5000, 0.5000)  1.04
Ti (0.0000, 0.0000, 0.0000)  0.85

Record 3
Compound: SrMn2Tl
Source: Alexandria
Functional: PBE
Structure: relaxed

## Properties
**Energy of formation**: 388.1 meV/atom
**E above lowest polymorph**: 0.000 eV/atom
**V**: 94.9 Å³/cell

Cell: 3.5064 3.5339 8.4398 Å, 65.17 90.00 90.00°
Each line ends with the local moment (μB).
Sites, in units of the cell vectors:
Mn (0.0000, 0.9724, 0.0276)  3.65
Mn (0.5000, 0.3146, 0.1855)  3.70
Sr (0.0000, 0.5193, 0.4804)  -0.04
Tl (0.5000, 0.6937, 0.8065)  -0.04

Record 4
Compound: Y2OsAu
Source: Alexandria
Functional: PBE
Structure: relaxed

## Properties
**Energy of formation**: -147.6 meV/atom
**V**: 93.7 Å³/cell

Cell: 3.9713 3.9713 5.9402 Å, 90.00 90.00 90.00°
Sites, in units of the cell vectors:
Os (0.5000, 0.5000, 0.8139)
Au (0.0000, 0.0000, 0.4516)
Y (0.5000, 0.5000, 0.3027)
Y (0.0000, 0.0000, 0.9318)

Record 5
Compound: Ag5Pd
Source: Alexandria
Functional: PBE
Structure: relaxed

## Properties
**Energy of formation**: 55.5 meV/atom
**E above lowest polymorph**: 0.074 eV/atom
**V**: 106.7 Å³/cell

Cell: 4.7013 5.4573 5.4573 Å, 61.72 64.49 64.49°
Sites, in units of the cell vectors:
Pd (0.5000, 0.5000, 0.5000)
Ag (0.8331, 0.9152, 0.4187)
Ag (0.1669, 0.0848, 0.5813)
Ag (0.8331, 0.4187, 0.9152)
Ag (0.1669, 0.5813, 0.0848)
Ag (0.5000, 0.0000, 0.0000)

Record 6
Compound: Ti2TlCrH
Source: Alexandria
Functional: PBE
Structure: relaxed

## Properties
**V**: 68.2 Å³/cell
**VASP energy**: -6.2106 eV/atom

Cell: 4.3095 4.3095 3.6726 Å, 90.00 90.00 90.00°
Each line ends with the local moment (μB).
Sites, in units of the cell vectors:
Ti (0.5000, 0.0000, 0.0000)  -0.18
Ti (0.0000, 0.5000, 0.0000)  -0.18
H (0.0000, 0.0000, 0.0000)  0.00
Cr (0.0000, 0.0000, 0.5000)  0.59
Tl (0.5000, 0.5000, 0.5000)  -0.01

Record 7
Compound: La15Nd4Ho
Source: Alexandria
Functional: PBE
Structure: relaxed

## Properties
**Energy of formation**: 10.1 meV/atom
**V**: 721.3 Å³/cell

Cell: 5.2377 5.2377 26.2932 Å, 90.00 90.00 90.00°
Sites, in units of the cell vectors:
La (0.5000, 0.0000, 0.5000)
La (0.5000, 0.5000, 0.6002)
La (0.5000, 0.5000, 0.8010)
La (0.5000, 0.0000, 0.0987)
La (0.0000, 0.5000, 0.2991)
La (0.5000, 0.0000, 0.7009)
La (0.5000, 0.5000, 0.0000)
La (0.5000, 0.0000, 0.9013)
La (0.0000, 0.5000, 0.9013)
La (0.5000, 0.0000, 0.2991)
La (0.0000, 0.5000, 0.0987)
La (0.5000, 0.5000, 0.1990)
La (0.0000, 0.5000, 0.7009)
La (0.0000, 0.5000, 0.5000)
La (0.5000, 0.5000, 0.3998)
Ho (0.0000, 0.0000, 0.0000)
Nd (0.0000, 0.0000, 0.8011)
Nd (0.0000, 0.0000, 0.3997)
Nd (0.0000, 0.0000, 0.6003)
Nd (0.0000, 0.0000, 0.1989)

Record 8
Compound: AlTcAu2
Source: Alexandria
Functional: PBE
Structure: relaxed

## Properties
**Energy of formation**: 131.1 meV/atom
**V**: 64.9 Å³/cell

Cell: 9.1089 9.1089 9.1089 Å, 18.28 18.28 18.28°
Sites, in units of the cell vectors:
Tc (0.2500, 0.2500, 0.2500)
Al (0.7500, 0.7500, 0.7500)
Au (0.0033, 0.0033, 0.0033)
Au (0.4967, 0.4967, 0.4967)